[1]
## B3AuCl (PBE-GGA)

Data for a relaxed B3AuCl crystal.

## Properties
* formation energy without anion corrections: 2.2440 eV/atom
* offset from the most stable computed form: 0.690 eV per atom

CIF file:
```
data_B3AuCl
_chemical_formula_sum 'B3 Au1 Cl1'
_cell_length_a 3.902
_cell_length_b 3.902
_cell_length_c 3.902
_cell_angle_alpha 90.00
_cell_angle_beta 90.00
_cell_angle_gamma 90.00
_space_group_name_H-M_alt 'P m -3 m'
_space_group_IT_number 221
_space_group_name_Hall '-P 4 2 3'
loop_
_atom_site_label
_atom_site_type_symbol
_atom_site_fract_x
_atom_site_fract_y
_atom_site_fract_z
_atom_site_occupancy
B1 B 0.000 0.000 0.500 1
Au1 Au 0.500 0.500 0.500 1
Cl1 Cl 0.000 0.000 0.000 1
```


[2]
## B2AuCl8 (PBE-GGA)

Data for a relaxed B2AuCl8 crystal.

## Properties
* formation energy without anion corrections: -0.6961 eV/atom

CIF file:
```
data_B2AuCl8
_chemical_formula_sum 'B4 Au2 Cl16'
_cell_length_a 11.355
_cell_length_b 9.657
_cell_length_c 6.363
_cell_angle_alpha 90.00
_cell_angle_beta 90.48
_cell_angle_gamma 90.00
_space_group_name_H-M_alt 'C 1 2/m 1'
_space_group_IT_number 12
loop_
_space_group_symop_operation_xyz
'x,y,z'
'-x,-y,-z'
'-x,y,-z'
'x,-y,z'
'x+1/2,y+1/2,z'
'-x+1/2,-y+1/2,-z'
'-x+1/2,y+1/2,-z'
'x+1/2,-y+1/2,z'
loop_
_atom_site_label
_atom_site_type_symbol
_atom_site_fract_x
_atom_site_fract_y
_atom_site_fract_z
_atom_site_occupancy
B1 B 0.222 0.000 0.312 1
Au1 Au 0.000 0.000 0.000 1
Cl1 Cl 0.127 0.156 0.207 1
Cl2 Cl 0.137 0.500 0.809 1
Cl3 Cl 0.223 0.000 0.595 1
```


[3]
## BAuCl2 (PBE-GGA)

Data for a relaxed BAuCl2 crystal.

## Properties
* formation energy without anion corrections: 1.0478 eV/atom
* offset from the most stable computed form: 0.734 eV per atom

CIF file:
```
data_BAuCl2
_chemical_formula_sum 'B4 Au4 Cl8'
_cell_length_a 6.683
_cell_length_b 6.683
_cell_length_c 6.683
_cell_angle_alpha 90.00
_cell_angle_beta 90.00
_cell_angle_gamma 90.00
_space_group_name_H-M_alt 'F m -3 m'
_space_group_IT_number 225
_space_group_name_Hall '-F 4 2 3'
loop_
_atom_site_label
_atom_site_type_symbol
_atom_site_fract_x
_atom_site_fract_y
_atom_site_fract_z
_atom_site_occupancy
B1 B 0.000 0.000 0.000 1
Au1 Au 0.000 0.000 0.500 1
Cl1 Cl 0.250 0.250 0.250 1
```


[4]
## Cs2BAuCl6 (PBE-GGA)

Data for a relaxed Cs2BAuCl6 crystal.

## Properties
* formation energy without anion corrections: -0.9693 eV/atom

CIF file:
```
data_Cs2BAuCl6
_chemical_formula_sum 'Cs4 B2 Au2 Cl12'
_cell_length_a 7.519
_cell_length_b 7.519
_cell_length_c 11.127
_cell_angle_alpha 90.00
_cell_angle_beta 90.00
_cell_angle_gamma 90.00
_space_group_name_H-M_alt 'I 4/m m m'
_space_group_IT_number 139
_space_group_name_Hall '-I 4 2'
loop_
_atom_site_label
_atom_site_type_symbol
_atom_site_fract_x
_atom_site_fract_y
_atom_site_fract_z
_atom_site_occupancy
Cs1 Cs 0.000 0.500 0.250 1
B1 B 0.000 0.000 0.000 1
Au1 Au 0.000 0.000 0.500 1
Cl1 Cl 0.000 0.000 0.293 1
Cl2 Cl 0.187 0.187 0.000 1
```


[5]
## KB2AuCl8 (PBE-GGA)

Data for a relaxed KB2AuCl8 crystal.

## Properties
* formation energy without anion corrections: -0.9179 eV/atom

CIF file:
```
data_KB2AuCl8
_chemical_formula_sum 'K3 B6 Au3 Cl24'
_cell_length_a 6.1222
_cell_length_b 6.1222
_cell_length_c 27.6534
_cell_angle_alpha 90.00
_cell_angle_beta 90.00
_cell_angle_gamma 120.00
_space_group_name_H-M_alt 'R -3'
_space_group_IT_number 148
_space_group_name_Hall '-R 3'
loop_
_atom_site_label
_atom_site_type_symbol
_atom_site_fract_x
_atom_site_fract_y
_atom_site_fract_z
_atom_site_occupancy
K1 K 0.0000 0.0000 0.0000 1
B1 B 0.0000 0.0000 0.2498 1
Au1 Au 0.0000 0.0000 0.5000 1
Cl1 Cl 0.0000 0.0000 0.3171 1
Cl2 Cl 0.0156 0.2967 0.7718 1
```


[6]
## BP2AuCl (PBE-GGA)

Data for a relaxed BP2AuCl crystal.

## Properties
* formation energy without anion corrections: 1.6743 eV/atom
* offset from the most stable computed form: 0.793 eV per atom

CIF file:
```
data_BP2AuCl
_chemical_formula_sum 'B1 P2 Au1 Cl1'
_cell_length_a 4.700
_cell_length_b 4.700
_cell_length_c 5.764
_cell_angle_alpha 90.00
_cell_angle_beta 90.00
_cell_angle_gamma 90.00
_space_group_name_H-M_alt 'P 4/m m m'
_space_group_IT_number 123
_space_group_name_Hall '-P 4 2'
loop_
_atom_site_label
_atom_site_type_symbol
_atom_site_fract_x
_atom_site_fract_y
_atom_site_fract_z
_atom_site_occupancy
B1 B 0.000 0.000 0.000 1
P1 P 0.000 0.500 0.500 1
Au1 Au 0.500 0.500 0.500 1
Cl1 Cl 0.500 0.500 0.000 1
```